Compound: Pm4S3Cl
Source: Alexandria via LeMat-Bulk
Functional: PBE
Structure: relaxed

Lattice parameters (Å, degrees): 4.0060 4.0060 27.2869 90.00 90.00 120.00
Last column: nearest neighbours and their distance in Å.
Sites, in units of the cell vectors:
Pm  0.0000  0.0000  0.3241  3 S 2.75, 3 Cl 3.07
Cl  0.6667  0.3333  0.7500  6 Pm 3.07
Pm  0.6667  0.3333  0.9363  6 S 2.80-2.89
Pm  0.0000  0.0000  0.1759  3 S 2.75, 3 Cl 3.07
S  0.3333  0.6667  0.8786  6 Pm 2.75-2.80
S  0.6667  0.3333  0.3786  6 Pm 2.75-2.80
Cl  0.3333  0.6667  0.2500  6 Pm 3.07
Pm  0.6667  0.3333  0.5637  6 S 2.80-2.89
S  0.6667  0.3333  0.1214  6 Pm 2.75-2.80
Pm  0.0000  0.0000  0.8241  3 S 2.75, 3 Cl 3.07
S  0.3333  0.6667  0.6214  6 Pm 2.75-2.80
Pm  0.0000  0.0000  0.6759  3 S 2.75, 3 Cl 3.07
Pm  0.3333  0.6667  0.4363  6 S 2.80-2.89
Pm  0.3333  0.6667  0.0637  6 S 2.80-2.89
S  0.0000  0.0000  0.0000  6 Pm 2.89
S  0.0000  0.0000  0.5000  6 Pm 2.89

Output
Spin magnetization: 0.00 μB per formula unit
Polymorph energy (0 for the lowest one): 0.000 eV/atom
E: -6.013 eV per atom
Uncorrected formation energy: -1.859 eV per atom


Compound: MgTcAg
Source: Alexandria via LeMat-Bulk
Functional: PBE
Structure: relaxed

Lattice parameters (Å, degrees): 7.0625 6.9600 2.7400 80.84 76.64 22.52
Last column: nearest neighbours and their distance in Å.
Sites, in units of the cell vectors:
Ag  0.0004  0.0004  0.9996  4 Ag 2.74, 2 Tc 2.87, 2 Mg 2.88
Tc  0.6696  0.6696  0.3304  4 Tc 2.74, 4 Mg 2.78-3.02, 2 Ag 2.87
Mg  0.3300  0.3300  0.6700  4 Mg 2.74, 4 Tc 2.78-3.02, 2 Ag 2.88

Output
Spin magnetization: 0.00 μB per formula unit
Polymorph energy (0 for the lowest one): 0.019 eV/atom
E: -4.673 eV per atom
Energy of formation: 264 meV/atom


Compound: BaBeAl
Source: Alexandria via LeMat-Bulk
Functional: PBE
Structure: relaxed

Lattice parameters (Å, degrees): 6.6744 6.6773 3.3624 75.36 75.45 29.18
Last column: nearest neighbours and their distance in Å.
Sites, in units of the cell vectors:
Ba  0.3279  0.3278  0.6723  4 Ba 3.36, 5 Be 3.45-3.73, 5 Al 3.53-3.61
Be  0.6272  0.6272  0.3725  4 Al 2.59
Al  0.0450  0.0450  0.9552  4 Be 2.59

Output
Spin magnetization: 0.00 μB per formula unit
Polymorph energy (0 for the lowest one): 0.428 eV/atom
E: -2.763 eV per atom
Energy of formation: 368 meV/atom